No. 1
{"formula": "In2GaBr2", "functional": "PBE-GGA", "state": "relaxed", "e_above_lowest_polymorph_ev_per_atom": 0.018, "e_form_raw_ev_per_atom": -0.4335, "cell": [[6.694, 0.000, 0.000], [0.000, 4.545, 0.000], [-1.929, 0.000, 10.310]], "species": ["In", "In", "In", "In", "Ga", "Ga", "Br", "Br", "Br", "Br"], "frac_coords": [[0.000, 0.000, 0.000], [0.155, 0.000, 0.561], [0.582, 0.500, 0.928], [0.813, 0.500, 0.479], [0.311, 0.500, 0.425], [0.522, 0.000, 0.396], [0.132, 0.500, 0.817], [0.446, 0.000, 0.127], [0.576, 0.000, 0.703], [0.994, 0.500, 0.233]]}

=====

No. 2
{"formula": "ZnNiPt5", "functional": "PBE-GGA", "state": "relaxed", "formation_energy_ev_per_atom": 0.526, "cell": [[-3.978, 3.978, 2.351], [3.978, -3.978, 2.351], [3.978, 3.978, -2.351]], "species": ["Zn", "Ni", "Pt", "Pt", "Pt", "Pt", "Pt"], "frac_coords": [[0.000, 0.000, 0.000], [0.750, 0.250, 0.500], [0.250, 0.750, 0.500], [0.257, 0.479, 0.778], [0.521, 0.299, 0.778], [0.521, 0.743, 0.222], [0.701, 0.479, 0.222]]}

=====

No. 3
{"formula": "CaNd2PuP4", "functional": "PBE-GGA", "state": "relaxed", "formation_energy_ev_per_atom": -1.270, "cell": [[7.091, 0.000, 0.000], [0.000, 4.126, 0.000], [-2.341, 0.000, 6.700]], "species": ["Ca", "Nd", "Nd", "Pu", "P", "P", "P", "P"], "frac_coords": [[0.000, 0.000, 0.000], [0.500, 0.000, 0.500], [0.500, 0.500, 0.000], [0.000, 0.500, 0.500], [0.238, 0.000, 0.737], [0.242, 0.500, 0.260], [0.758, 0.500, 0.740], [0.762, 0.000, 0.263]]}

=====

No. 4
{"formula": "Li2ZnGa8", "functional": "PBE-GGA", "state": "relaxed", "e_above_lowest_polymorph_ev_per_atom": 0.000, "formation_energy_ev_per_atom": -0.104, "cell": [[7.226, -2.030, 0.000], [7.226, 2.030, 0.000], [-1.693, 0.000, 6.498]], "species": ["Li", "Li", "Zn", "Ga", "Ga", "Ga", "Ga", "Ga", "Ga", "Ga", "Ga"], "frac_coords": [[0.228, 0.228, 0.143], [0.772, 0.772, 0.857], [0.500, 0.500, 0.500], [0.052, 0.052, 0.243], [0.133, 0.133, 0.704], [0.316, 0.316, 0.584], [0.409, 0.409, 0.036], [0.591, 0.591, 0.964], [0.684, 0.684, 0.416], [0.867, 0.867, 0.296], [0.948, 0.948, 0.757]]}

=====

No. 5
{"formula": "CsLa2Os2", "functional": "PBE-GGA", "state": "relaxed", "e_above_lowest_polymorph_ev_per_atom": 0.055, "formation_energy_ev_per_atom": 0.553, "cell": [[8.770, 0.000, 0.000], [0.000, 8.770, 0.000], [0.000, 0.000, 3.481]], "species": ["Cs", "Cs", "La", "La", "La", "La", "Os", "Os", "Os", "Os"], "frac_coords": [[0.000, 0.000, 0.000], [0.500, 0.500, 0.000], [0.143, 0.357, 0.500], [0.357, 0.857, 0.500], [0.643, 0.143, 0.500], [0.857, 0.643, 0.500], [0.130, 0.630, 0.000], [0.370, 0.130, 0.000], [0.630, 0.870, 0.000], [0.870, 0.370, 0.000]]}

=====

No. 6
{"formula": "Er5Lu3O12", "functional": "PBE-GGA", "state": "relaxed", "e_form_raw_ev_per_atom": -3.3489, "cell": [[-6.601, 6.601, 6.601], [6.601, -6.601, 6.601], [6.601, 6.601, -6.601]], "species": ["Er", "Er", "Er", "Er", "Er", "Er", "Er", "Er", "Er", "Er", "Er", "Er", "Er", "Er", "Er", "Er", "Er", "Er", "Er", "Er", "Lu", "Lu", "Lu", "Lu", "Lu", "Lu", "Lu", "Lu", "Lu", "Lu", "Lu", "Lu", "O", "O", "O", "O", "O", "O", "O", "O", "O", "O", "O", "O", "O", "O", "O", "O", "O", "O", "O", "O", "O", "O", "O", "O", "O", "O", "O", "O", "O", "O", "O", "O", "O", "O", "O", "O", "O", "O", "O", "O", "O", "O", "O", "O", "O", "O", "O", "O"], "frac_coords": [[0.000, 0.000, 0.000], [0.000, 0.000, 0.500], [0.000, 0.500, 0.000], [0.000, 0.500, 0.500], [0.125, 0.750, 0.875], [0.125, 0.875, 0.250], [0.250, 0.125, 0.875], [0.250, 0.625, 0.375], [0.375, 0.250, 0.625], [0.375, 0.625, 0.750], [0.500, 0.000, 0.000], [0.500, 0.000, 0.500], [0.500, 0.500, 0.000], [0.500, 0.500, 0.500], [0.625, 0.375, 0.250], [0.625, 0.750, 0.375], [0.750, 0.375, 0.625], [0.750, 0.875, 0.125], [0.875, 0.125, 0.750], [0.875, 0.250, 0.125], [0.125, 0.250, 0.375], [0.125, 0.375, 0.750], [0.250, 0.375, 0.125], [0.250, 0.875, 0.625], [0.375, 0.125, 0.250], [0.375, 0.750, 0.125], [0.625, 0.250, 0.875], [0.625, 0.875, 0.750], [0.750, 0.125, 0.375], [0.750, 0.625, 0.875], [0.875, 0.625, 0.250], [0.875, 0.750, 0.625], [0.049, 0.224, 0.131], [0.049, 0.325, 0.917], [0.083, 0.631, 0.408], [0.083, 0.951, 0.675], [0.092, 0.724, 0.675], [0.092, 0.869, 0.417], [0.131, 0.049, 0.224], [0.131, 0.583, 0.908], [0.175, 0.224, 0.592], [0.175, 0.451, 0.583], [0.224, 0.131, 0.049], [0.224, 0.592, 0.175], [0.276, 0.325, 0.908], [0.276, 0.451, 0.369], [0.325, 0.908, 0.276], [0.325, 0.917, 0.049], [0.369, 0.276, 0.451], [0.369, 0.592, 0.917], [0.408, 0.083, 0.631], [0.408, 0.825, 0.776], [0.417, 0.092, 0.869], [0.417, 0.825, 0.549], [0.451, 0.369, 0.276], [0.451, 0.583, 0.175], [0.549, 0.417, 0.825], [0.549, 0.631, 0.724], [0.583, 0.175, 0.451], [0.583, 0.908, 0.131], [0.592, 0.175, 0.224], [0.592, 0.917, 0.369], [0.631, 0.408, 0.083], [0.631, 0.724, 0.549], [0.675, 0.083, 0.951], [0.675, 0.092, 0.724], [0.724, 0.549, 0.631], [0.724, 0.675, 0.092], [0.776, 0.408, 0.825], [0.776, 0.869, 0.951], [0.825, 0.549, 0.417], [0.825, 0.776, 0.408], [0.869, 0.417, 0.092], [0.869, 0.951, 0.776], [0.908, 0.131, 0.583], [0.908, 0.276, 0.325], [0.917, 0.049, 0.325], [0.917, 0.369, 0.592], [0.951, 0.675, 0.083], [0.951, 0.776, 0.869]]}

=====

For the records above, the corresponding V values read 31.37 21.26 24.51 17.33 26.78 14.38 A^3/atom.